No. 1
Density functional theory data (PBE) for crystalline SmMgInSe3 at its relaxed geometry.

Final energy, eV per atom: -4.46
Crystal system: orthorhombic

Cell: 7.549 7.549 11.381 Å, 90.00 90.00 147.18°
Fractional positions:
1 Se 0.131 0.869 0.438
2 Sm 0.500 0.500 0.500
3 Se 0.869 0.131 0.562
4 Se 0.869 0.131 0.938
5 Se 0.568 0.432 0.750
6 In 0.253 0.747 0.750
7 In 0.747 0.253 0.250
8 Se 0.432 0.568 0.250
9 Mg 0.963 0.037 0.750
10 Sm 0.500 0.500 0.000
11 Se 0.131 0.869 0.062
12 Mg 0.037 0.963 0.250


No. 2
Density functional theory data (PBE) for crystalline TbMgInSe3 at its relaxed geometry.

Final energy, eV per atom: -4.45
Crystal system: orthorhombic

Cell: 7.569 7.569 11.199 Å, 90.00 90.00 147.65°
Fractional positions:
1 Se 0.129 0.871 0.942
2 Tb 0.500 0.500 0.500
3 Mg 0.963 0.037 0.250
4 Tb 0.500 0.500 0.000
5 Se 0.432 0.568 0.750
6 Se 0.871 0.129 0.442
7 Se 0.568 0.432 0.250
8 In 0.252 0.748 0.250
9 In 0.748 0.252 0.750
10 Mg 0.037 0.963 0.750
11 Se 0.871 0.129 0.058
12 Se 0.129 0.871 0.558


No. 3
Density functional theory data (PBE) for crystalline SmMgInTe3 at its relaxed geometry.

Final energy, eV per atom: -3.97
Crystal system: orthorhombic

Cell: 7.958 7.958 11.898 Å, 90.00 90.00 147.22°
Fractional positions:
1 Te 0.577 0.423 0.750
2 Sm 0.500 0.500 0.000
3 Te 0.861 0.139 0.558
4 Mg 0.036 0.964 0.250
5 Sm 0.500 0.500 0.500
6 Te 0.139 0.861 0.058
7 Mg 0.964 0.036 0.750
8 Te 0.861 0.139 0.942
9 Te 0.139 0.861 0.442
10 In 0.743 0.257 0.250
11 In 0.257 0.743 0.750
12 Te 0.423 0.577 0.250


No. 4
Density functional theory data (PBE) for crystalline SmYMgIn at its relaxed geometry.

Final energy, eV per atom: -4.21
Crystal system: cubic

Cell: 5.359 5.359 5.359 Å, 60.00 60.00 60.00°
Fractional positions:
1 Y 0.500 0.500 0.500
2 Sm 0.000 0.000 0.000
3 In 0.750 0.750 0.750
4 Mg 0.250 0.250 0.250


No. 5
Density functional theory data (PBE) for crystalline SrMgZnIn2 at its relaxed geometry.

Final energy, eV per atom: -2.24
Crystal system: tetragonal

Cell: 6.940 6.940 6.940 Å, 140.91 140.91 56.47°
Fractional positions:
1 Sr 0.007 0.007 0.000
2 In 0.244 0.744 0.500
3 Mg 0.394 0.394 0.000
4 In 0.744 0.244 0.500
5 Zn 0.610 0.610 0.000


No. 6
Density functional theory data (PBE) for crystalline TbMgIn2 at its relaxed geometry.

Final energy, eV per atom: -3.33
Crystal system: tetragonal

Cell: 4.633 4.633 4.506 Å, 90.00 90.00 90.00°
Fractional positions:
1 In 0.000 0.500 0.000
2 Tb 0.500 0.500 0.500
3 Mg 0.000 0.000 0.500
4 In 0.500 0.000 0.000


No. 7
Density functional theory data (PBE) for crystalline TbMgIn at its relaxed geometry.

Final energy, eV per atom: -3.37
Crystal system: hexagonal

Cell: 7.533 7.533 4.691 Å, 90.00 90.00 120.00°
Fractional positions:
1 Mg 0.759 0.000 0.500
2 Mg 0.000 0.759 0.500
3 Tb 0.435 0.000 0.000
4 In 0.667 0.333 0.500
5 Mg 0.241 0.241 0.500
6 Tb 0.565 0.565 0.000
7 In 0.000 0.000 0.000
8 Tb 0.000 0.435 0.000
9 In 0.333 0.667 0.500


No. 8
Density functional theory data (PBE) for crystalline TbMgIn at its relaxed geometry.

Final energy, eV per atom: -3.18
Crystal system: cubic

Cell: 4.972 4.972 4.972 Å, 60.00 60.00 60.00°
Fractional positions:
1 Mg 0.250 0.250 0.250
2 In 0.000 0.000 0.000
3 Tb 0.750 0.750 0.750


The lowest final energy belongs to which entry? SmMgInSe3


Which value of final energy does entry 1 give? -4.46 eV per atom